A plane-wave DFT calculation with PBE was carried out for a relaxed structure of Pr6AlGa2.

Unit cell a=8.942 b=8.942 c=8.942 alpha=105.75 beta=111.06 gamma=111.67
Positions (direct):
Pr (0.549, 0.727, 0.822)
Pr (0.451, 0.273, 0.178)
Pr (0.095, 0.273, 0.822)
Pr (0.905, 0.727, 0.178)
Pr (0.803, 0.753, 0.556)
Pr (0.197, 0.247, 0.444)
Pr (0.197, 0.753, 0.950)
Pr (0.803, 0.247, 0.050)
Pr (0.709, 0.382, 0.674)
Pr (0.291, 0.618, 0.326)
Pr (0.291, 0.965, 0.674)
Pr (0.709, 0.035, 0.326)
Al (0.000, 0.500, 0.500)
Al (0.000, 0.000, 0.000)
Ga (0.500, 0.379, 0.879)
Ga (0.500, 0.621, 0.121)
Ga (0.648, 0.000, 0.648)
Ga (0.352, 0.000, 0.352)

Properties
energy of formation from the pure elements	-0.32	eV per atom
SG	Immm, No. 71

A plane-wave DFT calculation with PBE was carried out for a relaxed structure of Zn6Ni.

Unit cell a=5.970 b=5.970 c=5.970 alpha=109.47 beta=109.47 gamma=109.47
Positions (direct):
Zn (0.250, 0.750, 0.500)
Zn (0.500, 0.750, 0.250)
Zn (0.250, 0.500, 0.750)
Zn (0.750, 0.250, 0.500)
Zn (0.500, 0.250, 0.750)
Zn (0.750, 0.500, 0.250)
Ni (0.000, 0.000, 0.000)

Properties
energy of formation from the pure elements	0.86	eV per atom
offset from the most stable computed form	93.4	kJ/mol of atoms
SG	Im-3m, No. 229

A plane-wave DFT calculation with PBE was carried out for a relaxed structure of Be2PtSe2.

Unit cell a=6.511 b=6.511 c=3.479 alpha=90.00 beta=90.00 gamma=90.00
Positions (direct):
Be (0.358, 0.858, 0.000)
Be (0.858, 0.642, 0.000)
Be (0.642, 0.142, 0.000)
Be (0.142, 0.358, 0.000)
Se (0.190, 0.690, 0.500)
Se (0.690, 0.810, 0.500)
Se (0.810, 0.310, 0.500)
Se (0.310, 0.190, 0.500)
Pt (0.000, 0.000, 0.000)
Pt (0.500, 0.500, 0.000)

Properties
offset from the most stable computed form	0.0	kJ/mol of atoms
uncorrected formation energy	0.17	eV/atom
SG	P4/mbm, No. 127

A plane-wave DFT calculation with PBE was carried out for a relaxed structure of Dy7YHo2.

Unit cell a=5.322 b=9.466 c=9.466 alpha=125.37 beta=90.00 gamma=90.00
Positions (direct):
Dy (0.000, 0.799, 0.201)
Dy (0.000, 0.201, 0.799)
Dy (0.500, 0.067, 0.289)
Dy (0.500, 0.933, 0.711)
Dy (0.500, 0.289, 0.067)
Dy (0.500, 0.711, 0.933)
Dy (0.500, 0.500, 0.500)
Y (0.000, 0.000, 0.000)
Ho (0.500, 0.702, 0.298)
Ho (0.500, 0.298, 0.702)

Properties
energy of formation from the pure elements	0.69	eV per atom
offset from the most stable computed form	65.1	kJ/mol of atoms
SG	Cmmm, No. 65

A plane-wave DFT calculation with PBE was carried out for a relaxed structure of In2SnP2.

Unit cell a=5.076 b=5.076 c=5.883 alpha=64.44 beta=64.44 gamma=90.00
Positions (direct):
P (0.750, 0.250, 0.500)
P (0.250, 0.750, 0.500)
Sn (0.000, 0.000, 0.000)
In (0.350, 0.350, 0.299)
In (0.650, 0.650, 0.701)

Properties
energy of formation from the pure elements	0.26	eV per atom
offset from the most stable computed form	9.3	kJ/mol of atoms
SG	I4/mmm, No. 139

A plane-wave DFT calculation with PBE was carried out for a relaxed structure of AgHgBr3.

Unit cell a=5.531 b=5.531 c=5.531 alpha=90.00 beta=90.00 gamma=90.00
Positions (direct):
Ag (0.500, 0.500, 0.500)
Hg (0.000, 0.000, 0.000)
Br (0.000, 0.500, 0.000)
Br (0.000, 0.000, 0.500)
Br (0.500, 0.000, 0.000)

Properties
offset from the most stable computed form	36.7	kJ/mol of atoms
uncorrected formation energy	-0.01	eV/atom
SG	Pm-3m, No. 221

A plane-wave DFT calculation with PBE was carried out for a relaxed structure of LuThTiAl.

Unit cell a=5.103 b=5.103 c=5.103 alpha=60.00 beta=60.00 gamma=60.00
Positions (direct):
Lu (0.000, 0.000, 0.000)
Al (0.750, 0.750, 0.750)
Th (0.500, 0.500, 0.500)
Ti (0.250, 0.250, 0.250)

Properties
energy of formation from the pure elements	-0.01	eV per atom
SG	F-43m, No. 216

A plane-wave DFT calculation with PBE was carried out for a relaxed structure of KUTl2F8.

Unit cell a=6.213 b=6.213 c=7.439 alpha=114.68 beta=114.68 gamma=90.00
Positions (direct):
K (0.500, 0.500, 0.000)
U (0.250, 0.750, 0.500)
Tl (0.750, 0.250, 0.500)
Tl (0.000, 0.000, 0.000)
F (0.153, 0.649, 0.714)
F (0.561, 0.649, 0.714)
F (0.351, 0.439, 0.286)
F (0.935, 0.847, 0.286)
F (0.561, 0.065, 0.714)
F (0.351, 0.847, 0.286)
F (0.153, 0.065, 0.714)
F (0.935, 0.439, 0.286)

Properties
uncorrected formation energy	-2.88	eV/atom
SG	I-4m2, No. 119

A plane-wave DFT calculation with PBE was carried out for a relaxed structure of AcPbIO2.

Unit cell a=4.357 b=7.917 c=8.528 alpha=106.82 beta=90.00 gamma=90.00
Positions (direct):
Ac (0.250, 0.661, 0.918)
Ac (0.750, 0.339, 0.082)
Pb (0.250, 0.646, 0.416)
Pb (0.750, 0.354, 0.584)
I (0.250, 0.046, 0.787)
I (0.750, 0.954, 0.213)
O (0.750, 0.491, 0.373)
O (0.250, 0.509, 0.627)
O (0.750, 0.517, 0.885)
O (0.250, 0.483, 0.115)

Properties
uncorrected formation energy	-2.11	eV/atom
SG	P2_1/m, No. 11

A plane-wave DFT calculation with PBE was carried out for a relaxed structure of ZrAs2N.

Unit cell a=6.104 b=6.104 c=5.708 alpha=57.68 beta=57.68 gamma=90.00
Positions (direct):
As (0.536, 0.125, 0.250)
As (0.214, 0.625, 0.250)
As (0.375, 0.464, 0.750)
As (0.875, 0.786, 0.750)
Zr (0.000, 0.000, 0.000)
Zr (0.750, 0.250, 0.500)
N (0.500, 0.500, 0.000)
N (0.250, 0.750, 0.500)

Properties
offset from the most stable computed form	0.0	kJ/mol of atoms
uncorrected formation energy	0.26	eV/atom
SG	I-42d, No. 122

A plane-wave DFT calculation with PBE was carried out for a relaxed structure of Sm4In3.

Unit cell a=5.347 b=5.347 c=9.237 alpha=73.17 beta=73.17 gamma=60.00
Positions (direct):
Sm (0.619, 0.619, 0.143)
Sm (0.871, 0.871, 0.386)
Sm (0.129, 0.129, 0.614)
Sm (0.381, 0.381, 0.857)
In (0.251, 0.251, 0.248)
In (0.749, 0.749, 0.752)
In (0.000, 0.000, 0.000)

Properties
energy of formation from the pure elements	-0.32	eV per atom
offset from the most stable computed form	7.8	kJ/mol of atoms
SG	R-3m, No. 166

A plane-wave DFT calculation with PBE was carried out for a relaxed structure of Rb2BaLiFe.

Unit cell a=6.698 b=5.357 c=6.698 alpha=90.00 beta=90.00 gamma=90.00
Positions (direct):
Li (0.000, 0.000, 0.000)
Ba (0.500, 0.500, 0.500)
Rb (0.000, 0.000, 0.500)
Rb (0.500, 0.000, 0.000)
Fe (0.000, 0.500, 0.000)

Properties
energy of formation from the pure elements	0.79	eV per atom
SG	P4/mmm, No. 123

no.,M_tot (μB per cell),V (Å³ per cell),calculated density (g cm⁻³)
1,0.0,549,6.12
2,0.7,164,4.57
3,0.0,147,8.36
4,0.0,389,6.65
5,0.0,120,5.67
6,0.0,169,5.38
7,0.1,94,8.52
8,1.0,232,6.00
9,0.0,282,7.00
10,0.0,139,6.09
11,0.0,216,7.29
12,3.0,240,2.56